(1)
## HfNi2HPd (PBE)

Data for a relaxed structure of HfNi2HPd.

extended XYZ file:
```
5
Lattice="-2.8656 2.3522 -0.8941 -1.3570 -0.3033 3.5511 2.2651 3.1921 1.1382" Properties=species:S:1:pos:R:3 pbc="T T T"
Ni -1.4328 1.1761 -0.4471
Hf 1.1326 1.5961 0.5691
H 0.0000 0.0000 0.0000
Ni -0.6785 -0.1516 1.7756
Pd -0.9787 2.6205 1.8976
```

relative energy among the computed polymorphs	0	meV/atom
symmetry	P4/mmm, No. 123
crystal system	tetragonal

(2)
## Hf2NiHPt (PBE)

Data for a relaxed structure of Hf2NiHPt.

extended XYZ file:
```
5
Lattice="-3.9411 -1.3997 -1.7296 -1.7028 -0.3673 4.1772 -1.0972 3.2853 -0.1584" Properties=species:S:1:pos:R:3 pbc="T T T"
Hf -0.8514 -0.1836 2.0886
H 0.0000 0.0000 0.0000
Ni -0.5486 1.6426 -0.0792
Hf -1.9706 -0.6998 -0.8648
Pt -3.3706 0.7592 1.1446
```

relative energy among the computed polymorphs	0	meV/atom
symmetry	P4/mmm, No. 123
crystal system	tetragonal

(3)
## Hf2NiHPt (PBE)

Data for a relaxed structure of Hf2NiHPt.

extended XYZ file:
```
5
Lattice="4.9581 0.0000 0.0000 0.0000 3.1532 0.0000 0.0000 0.0000 4.9581" Properties=species:S:1:pos:R:3 pbc="T T T"
Pt 2.4791 1.5766 2.4791
Hf 2.4791 0.0000 0.0000
Ni 0.0000 0.0000 0.0000
H 0.0000 1.5766 0.0000
Hf 0.0000 0.0000 2.4791
```

relative energy among the computed polymorphs	456	meV/atom
symmetry	P4/mmm, No. 123
crystal system	tetragonal

(4)
## HfReNi2H (PBE)

Data for a relaxed structure of HfReNi2H.

extended XYZ file:
```
5
Lattice="3.8607 0.0000 0.0000 0.0000 3.8607 0.0000 0.0000 0.0000 3.9519" Properties=species:S:1:pos:R:3 pbc="T T T"
Ni 0.0000 1.9303 0.0000
Hf 1.9303 1.9303 1.9760
H 0.0000 0.0000 0.0000
Ni 1.9303 0.0000 0.0000
Re 0.0000 0.0000 1.9760
```

electronic total energy	-7.611	eV per atom
symmetry	P4/mmm, No. 123
crystal system	tetragonal

(5)
## HfNiHRh2 (PBE)

Data for a relaxed structure of HfNiHRh2.

extended XYZ file:
```
5
Lattice="3.8942 0.0000 0.0000 0.0000 3.8942 0.0000 0.0000 0.0000 4.0602" Properties=species:S:1:pos:R:3 pbc="T T T"
Hf 0.0000 0.0000 2.0301
Ni 1.9471 1.9471 2.0301
Rh 0.0000 1.9471 0.0000
H 0.0000 0.0000 0.0000
Rh 1.9471 0.0000 0.0000
```

relative energy among the computed polymorphs	120	meV/atom
symmetry	P4/mmm, No. 123
crystal system	tetragonal

(6)
## Hf2NiHRh (PBE)

Data for a relaxed structure of Hf2NiHRh.

extended XYZ file:
```
5
Lattice="4.4385 0.0000 0.0000 0.0000 4.4385 0.0000 0.0000 0.0000 3.5808" Properties=species:S:1:pos:R:3 pbc="T T T"
H 0.0000 0.0000 0.0000
Ni 2.2193 2.2193 1.7904
Rh 0.0000 0.0000 1.7904
Hf 0.0000 2.2193 0.0000
Hf 2.2193 0.0000 0.0000
```

relative energy among the computed polymorphs	105	meV/atom
symmetry	P4/mmm, No. 123
crystal system	tetragonal

(7)
## HfNiHRh2 (PBE)

Data for a relaxed structure of HfNiHRh2.

extended XYZ file:
```
5
Lattice="3.9990 0.0000 0.0000 0.0000 3.9990 0.0000 0.0000 0.0000 3.7911" Properties=species:S:1:pos:R:3 pbc="T T T"
Ni 0.0000 0.0000 1.8956
Hf 1.9995 1.9995 1.8956
Rh 0.0000 1.9995 0.0000
H 0.0000 0.0000 0.0000
Rh 1.9995 0.0000 0.0000
```

relative energy among the computed polymorphs	0	meV/atom
symmetry	P4/mmm, No. 123
crystal system	tetragonal

(8)
## Hf2NiHRh (PBE)

Data for a relaxed structure of Hf2NiHRh.

extended XYZ file:
```
5
Lattice="-2.0886 -3.9944 0.3618 4.0101 -2.0722 0.2718 -0.0557 0.3347 3.3731" Properties=species:S:1:pos:R:3 pbc="T T T"
Hf 2.0050 -1.0361 0.1359
Hf -1.0443 -1.9972 0.1809
Rh 0.9329 -2.8660 2.0034
Ni -0.0279 0.1673 1.6866
H 0.0000 0.0000 0.0000
```

relative energy among the computed polymorphs	0	meV/atom
symmetry	P4/mmm, No. 123
crystal system	tetragonal

Repeat the seventh record exactly.
## HfNiHRh2 (PBE)

Data for a relaxed structure of HfNiHRh2.

extended XYZ file:
```
5
Lattice="3.9990 0.0000 0.0000 0.0000 3.9990 0.0000 0.0000 0.0000 3.7911" Properties=species:S:1:pos:R:3 pbc="T T T"
Ni 0.0000 0.0000 1.8956
Hf 1.9995 1.9995 1.8956
Rh 0.0000 1.9995 0.0000
H 0.0000 0.0000 0.0000
Rh 1.9995 0.0000 0.0000
```

relative energy among the computed polymorphs	0	meV/atom
symmetry	P4/mmm, No. 123
crystal system	tetragonal

- What is the formula in the third record?
  Hf2NiHPt

- Number 2 is which compound?
  Hf2NiHPt